No. 1
DFT (GGA-PBE) results for crystalline Ca2InNiHg at its relaxed geometry.

- Electronic total energy: -14.10 eV/f.u.
- Space-group type: No. 123
- DOS at the Fermi energy: 2.38 states/eV per cell
- M_tot: 0.000 μB/atom

Lattice parameters (Å, degrees): 5.339 5.339 4.912 90.00 90.00 90.00
Fractional positions:
1 Ni 0.000 0.000 0.000
2 Ca 0.000 0.500 0.000
3 Ca 0.500 0.000 0.000
4 Hg 0.500 0.500 0.500
5 In 0.000 0.000 0.500

=====

No. 2
DFT (GGA-PBE) results for crystalline Y2CrCd at its relaxed geometry.

- Electronic total energy: -23.06 eV/f.u.
- Space-group type: No. 11
- DOS at the Fermi energy: 9.31 states/eV per cell
- M_tot: 0.000 μB/atom

Lattice parameters (Å, degrees): 5.212 3.432 10.581 90.00 94.15 90.00
Fractional positions:
1 Y 0.963 0.250 0.168
2 Y 0.037 0.750 0.832
3 Y 0.489 0.250 0.371
4 Y 0.511 0.750 0.629
5 Cr 0.006 0.250 0.567
6 Cr 0.994 0.750 0.433
7 Cd 0.558 0.250 0.894
8 Cd 0.442 0.750 0.106

=====

Number 1: formation energy -255 meV/atom. Number 2: formation energy 102 meV/atom.